The following is a PBE-GGA calculation of crystalline Li5PtAu2 at its relaxed geometry, from the Alexandria database.

```
Li5PtAu2
1.0
-2.2349 2.2349 5.9184
2.2349 -2.2349 5.9184
2.2349 2.2349 -5.9184
Li Pt Au
5 1 2
direct
0.0000 0.0000 0.0000
0.1265 0.6265 0.5000
0.3735 0.8735 0.5000
0.6265 0.1265 0.5000
0.8735 0.3735 0.5000
0.5000 0.5000 0.0000
0.2528 0.2528 0.0000
0.7472 0.7472 0.0000
```

## Properties
ΔH_f (0 K) = -370 kJ/mol of formula units
Symmetry = No. 139
D(E_F) = 2.22 states/eV/f.u.
Electronic total energy = -3.250 eV/atom
Crystal system = tetragonal